Computed, not measured: an optimized crystal structure of CoNiSb at the PBEsol level of DFT.

total DFT energy (no corrections): -6.0167 eV/atom
symmetry: P3m1

Cell lengths 4.0207, 4.0207, 2.9710 Å; angles 90.00, 90.00, 120.00 degrees
Closest atoms and distances in Å follow each position.
Atoms (fractional coordinates):
Co 0.0000 0.0000 0.0000  3 Sb 2.47, 3 Ni 2.65
Ni 0.3333 0.6667 0.5709  3 Sb 2.47, 3 Co 2.65
Sb 0.6667 0.3333 0.2846  3 Co 2.47, 3 Ni 2.47


Computed, not measured: an optimized crystal structure of CrNiPO5 at the PBEsol level of DFT.

total DFT energy (no corrections): -7.7869 eV/atom
symmetry: C2/c

Cell lengths 5.2836, 5.2836, 7.0601 Å; angles 111.61, 111.61, 90.12 degrees
Closest atoms and distances in Å follow each position.
Atoms (fractional coordinates):
Cr 0.0000 0.5000 0.0000  6 O 1.97-1.98
Cr 0.5000 0.0000 0.5000  6 O 1.97-1.98
Ni 0.0000 0.0000 0.0000  6 O 2.04
Ni 0.0000 0.0000 0.5000  6 O 2.04
P 0.3775 0.6225 0.7500  4 O 1.54
P 0.6225 0.3775 0.2500  4 O 1.54
O 0.1360 0.8640 0.2500  2 Cr 1.97, 2 Ni 2.04
O 0.1855 0.6793 0.8755  1 P 1.54
O 0.3090 0.3123 0.5994  1 P 1.54
O 0.3123 0.3090 0.0994  1 P 1.54
O 0.3207 0.8145 0.6245  1 P 1.54
O 0.6793 0.1855 0.3755  1 P 1.54
O 0.6877 0.6910 0.9006  1 P 1.54
O 0.6910 0.6877 0.4006  1 P 1.54
O 0.8145 0.3207 0.1245  1 P 1.54
O 0.8640 0.1360 0.7500  2 Cr 1.97, 2 Ni 2.04